Record 1
The following is a PBE calculation of RbGaCuF6 after structural relaxation, from the Alexandria database.

The space group is No. 5. The value obtained for the uncorrected formation energy is -2348 meV/atom.

POSCAR file:
```
RbGaCuF6
1.0
2.750 -4.533 0.000
2.750 4.533 0.000
-0.163 0.000 6.067
Rb Ga Cu F
1 1 1 6
direct
0.000 0.000 0.000 Rb
0.659 0.341 0.500 Ga
0.323 0.677 0.500 Cu
0.367 0.021 0.660 F
0.376 0.398 0.321 F
0.602 0.624 0.679 F
0.633 0.061 0.297 F
0.939 0.367 0.703 F
0.979 0.633 0.340 F
```

***

Record 2
The following is a PBE calculation of AcSmTh2 after structural relaxation, from the Alexandria database.

The space group is No. 225. The value obtained for the energy of formation is 303 meV/atom.

POSCAR file:
```
AcSmTh2
1.0
0.000 4.137 4.137
4.137 0.000 4.137
4.137 4.137 0.000
Ac Sm Th
1 1 2
direct
0.000 0.000 0.000 Ac
0.500 0.500 0.500 Sm
0.250 0.250 0.250 Th
0.750 0.750 0.750 Th
```

***

Record 3
The following is a PBE calculation of Hf2BiRh after structural relaxation, from the Alexandria database.

The space group is No. 122. The value obtained for the energy of formation is -162 meV/atom.

POSCAR file:
```
Hf2BiRh
1.0
-3.851 3.851 3.039
3.851 -3.851 3.039
3.851 3.851 -3.039
Hf Bi Rh
4 2 2
direct
0.076 0.625 0.951 Hf
0.375 0.326 0.451 Hf
0.674 0.125 0.049 Hf
0.875 0.924 0.549 Hf
0.250 0.750 0.500 Bi
0.500 0.500 0.000 Bi
0.000 0.000 0.000 Rh
0.750 0.250 0.500 Rh
```

***

Record 4
The following is a PBE calculation of Zr2Nb2Ge after structural relaxation, from the Alexandria database.

The space group is No. 127. The value obtained for the energy of formation is -19 meV/atom.

POSCAR file:
```
Zr2Nb2Ge
1.0
6.941 0.000 0.000
0.000 6.941 0.000
0.000 0.000 4.252
Zr Nb Ge
4 4 2
direct
0.172 0.328 0.000 Zr
0.328 0.828 0.000 Zr
0.672 0.172 0.000 Zr
0.828 0.672 0.000 Zr
0.136 0.636 0.500 Nb
0.364 0.136 0.500 Nb
0.636 0.864 0.500 Nb
0.864 0.364 0.500 Nb
0.000 0.000 0.500 Ge
0.500 0.500 0.500 Ge
```

***

Record 5
The following is a PBE calculation of Co2HgBr after structural relaxation, from the Alexandria database.

The space group is No. 12. The value obtained for the uncorrected formation energy is 342 meV/atom.

POSCAR file:
```
Co2HgBr
1.0
4.765 -1.614 0.000
4.765 1.614 0.000
-4.560 0.000 5.712
Co Hg Br
2 1 1
direct
0.165 0.165 0.366 Co
0.835 0.835 0.634 Co
0.500 0.500 0.500 Hg
0.500 0.500 0.000 Br
```

***

Record 6
The following is a PBE calculation of NaSr2TeF after structural relaxation, from the Alexandria database.

The space group is No. 123. The value obtained for the uncorrected formation energy is -565 meV/atom.

POSCAR file:
```
NaSr2TeF
1.0
6.295 0.000 0.000
0.000 6.295 0.000
0.000 0.000 5.293
Na Sr Te F
1 2 1 1
direct
0.000 0.000 0.000 Na
0.000 0.500 0.000 Sr
0.500 0.000 0.000 Sr
0.000 0.000 0.500 Te
0.500 0.500 0.500 F
```

***

Record 7
The following is a PBE calculation of K2GaAg2 after structural relaxation, from the Alexandria database.

The space group is No. 139. The value obtained for the energy of formation is 427 meV/atom.

POSCAR file:
```
K2GaAg2
1.0
-2.503 2.503 7.102
2.503 -2.503 7.102
2.503 2.503 -7.102
K Ga Ag
2 1 2
direct
0.250 0.750 0.500 K
0.750 0.250 0.500 K
0.000 0.000 0.000 Ga
0.406 0.406 0.000 Ag
0.594 0.594 0.000 Ag
```

***

Record 8
The following is a PBE calculation of HfTiH2 after structural relaxation, from the Alexandria database.

The space group is No. 1.

POSCAR file:
```
HfTiH2
1.0
3.172 0.000 0.000
1.584 2.782 0.000
1.578 0.812 5.182
Hf Ti H
1 1 2
direct
0.000 0.000 0.000 Hf
0.504 0.514 0.479 Ti
0.386 0.385 0.842 H
0.867 0.877 0.391 H
```

***

Record 9
The following is a PBE calculation of TaAs2P after structural relaxation, from the Alexandria database.

The space group is No. 123. The value obtained for the energy of formation is 117 meV/atom.

POSCAR file:
```
TaAs2P
1.0
3.338 0.000 0.000
0.000 3.338 0.000
0.000 0.000 6.148
Ta As P
1 2 1
direct
0.000 0.000 0.000 Ta
0.500 0.500 0.227 As
0.500 0.500 0.773 As
0.000 0.000 0.500 P
```

***

Record 10
The following is a PBE calculation of PaCdCuIr after structural relaxation, from the Alexandria database.

The space group is No. 216. The value obtained for the energy of formation is -211 meV/atom.

POSCAR file:
```
PaCdCuIr
1.0
0.000 3.365 3.365
3.365 0.000 3.365
3.365 3.365 0.000
Pa Cd Cu Ir
1 1 1 1
direct
0.000 0.000 0.000 Pa
0.500 0.500 0.500 Cd
0.250 0.250 0.250 Cu
0.750 0.750 0.750 Ir
```

***

Record 11
The following is a PBE calculation of Ho3CoAg after structural relaxation, from the Alexandria database.

The space group is No. 12. The value obtained for the energy of formation is -205 meV/atom.

POSCAR file:
```
Ho3CoAg
1.0
5.037 -3.129 0.000
5.037 3.129 0.000
-3.925 0.000 7.606
Ho Co Ag
6 2 2
direct
0.026 0.026 0.219 Ho
0.293 0.293 0.680 Ho
0.317 0.317 0.130 Ho
0.683 0.683 0.870 Ho
0.707 0.707 0.320 Ho
0.974 0.974 0.781 Ho
0.313 0.687 0.000 Co
0.687 0.313 0.000 Co
0.278 0.722 0.500 Ag
0.722 0.278 0.500 Ag
```

***

Record 12
The following is a PBE calculation of CaAgPd2 after structural relaxation, from the Alexandria database.

The space group is No. 123. The value obtained for the energy of formation is -480 meV/atom.

POSCAR file:
```
CaAgPd2
1.0
4.297 0.000 0.000
0.000 4.297 0.000
0.000 0.000 3.962
Ca Ag Pd
1 1 2
direct
0.000 0.000 0.000 Ca
0.500 0.500 0.000 Ag
0.000 0.500 0.500 Pd
0.500 0.000 0.500 Pd
```

***

The evaluated total magnetic moment for the records listed, in turn: 1.0 0.0 0.0 0.0 3.7 0.0 0.0 0.0 0.0 0.0 0.0 0.0 μB per formula unit.
The evaluated electronic total energy for the records listed, in turn: -40.45 -22.45 -63.57 -83.90 -14.82 -12.52 -8.79 -25.77 -26.09 -24.21 -49.43 -17.16 eV/cell.